Density functional theory data (PBE) for KInOF2 after structural relaxation.

a = 4.4604 Å, b = 4.4604 Å, c = 4.0244 Å
α = 90.00°, β = 90.00°, γ = 90.00°
Last column: nearest neighbours and their distance in Å.
Space group P4/mmm (No. 123)
Asymmetric unit:
K 0.0000 0.0000 0.0000 (multiplicity 1)  8 F 3.00, 4 O 3.15
In 0.5000 0.5000 0.5000 (multiplicity 1)  2 O 2.01, 4 F 2.23
O 0.5000 0.5000 0.0000 (multiplicity 1)  2 In 2.01
F 0.0000 0.5000 0.5000 (multiplicity 2)  2 In 2.23

Summary:
Size of the total moment (μB per formula unit): 0.00
Crystal system: tetragonal
E_form (uncorrected) (meV/atom): -2218.0